# 1
Here is a geometry-optimized Dy9Ho4Tm11 structure from Alexandria. Energies are from PBE.

Calculated values
Energy of formation ... 0.05 eV per atom
DOS(E_F) ... 29.44 states/eV per cell
Density ... 8.928 Mg/m³
Total magnetization ... 0.00 μB/atom
Symmetry ... Cmmm (65)

Cell and atoms, written as POSCAR:
```
Dy9Ho4Tm11
1.0
8.222 -12.419 0.000
8.222 12.419 0.000
0.000 0.000 3.625
Dy Ho Tm
9 4 11
direct
0.000 0.000 0.000
0.131 0.664 0.000
0.286 0.432 0.000
0.336 0.869 0.000
0.432 0.286 0.000
0.568 0.714 0.000
0.664 0.131 0.000
0.714 0.568 0.000
0.869 0.336 0.000
0.054 0.256 0.000
0.256 0.054 0.000
0.744 0.946 0.000
0.946 0.744 0.000
0.093 0.455 0.500
0.133 0.867 0.500
0.209 0.209 0.500
0.340 0.660 0.500
0.455 0.093 0.500
0.500 0.500 0.500
0.545 0.907 0.500
0.660 0.340 0.500
0.791 0.791 0.500
0.867 0.133 0.500
0.907 0.545 0.500
```

# 2
Here is a geometry-optimized Dy15Ho4Tm structure from Alexandria. Energies are from PBE.

Calculated values
Energy of formation ... 0.02 eV per atom
DOS(E_F) ... 25.74 states/eV per cell
Density ... 8.729 Mg/m³
Total magnetization ... 0.00 μB/atom
Symmetry ... P4/mmm (123)

Cell and atoms, written as POSCAR:
```
Dy15Ho4Tm
1.0
4.990 0.000 0.000
0.000 4.990 0.000
0.000 0.000 24.949
Dy Ho Tm
15 4 1
direct
0.000 0.000 0.000
0.000 0.000 0.200
0.000 0.000 0.400
0.000 0.000 0.600
0.000 0.000 0.800
0.000 0.500 0.100
0.000 0.500 0.300
0.000 0.500 0.500
0.000 0.500 0.700
0.000 0.500 0.900
0.500 0.000 0.100
0.500 0.000 0.300
0.500 0.000 0.500
0.500 0.000 0.700
0.500 0.000 0.900
0.500 0.500 0.200
0.500 0.500 0.400
0.500 0.500 0.600
0.500 0.500 0.800
0.500 0.500 0.000
```

# 3
Here is a geometry-optimized Dy5HoTm6 structure from Alexandria. Energies are from PBE.

Calculated values
Energy of formation ... 0.02 eV per atom
DOS(E_F) ... 16.89 states/eV per cell
Density ... 9.051 Mg/m³
Total magnetization ... 0.00 μB/atom
Symmetry ... Immm (71)

Cell and atoms, written as POSCAR:
```
Dy5HoTm6
1.0
-2.477 4.950 7.448
2.477 -4.950 7.448
2.477 4.950 -7.448
Dy Ho Tm
5 1 6
direct
0.000 0.000 0.000
0.167 0.667 0.500
0.334 0.334 0.000
0.666 0.666 0.000
0.833 0.333 0.500
0.500 0.000 0.500
0.083 0.833 0.250
0.250 0.500 0.750
0.417 0.167 0.250
0.583 0.833 0.750
0.750 0.500 0.250
0.917 0.167 0.750
```

# 4
Here is a geometry-optimized Dy6HoTm8 structure from Alexandria. Energies are from PBE.

Calculated values
Energy of formation ... 0.13 eV per atom
DOS(E_F) ... 22.11 states/eV per cell
Density ... 8.852 Mg/m³
Total magnetization ... 0.00 μB/atom
Symmetry ... R-3 (148)

Cell and atoms, written as POSCAR:
```
Dy6HoTm8
1.0
4.460 2.575 6.782
-4.460 2.575 6.782
0.000 -5.150 6.782
Dy Ho Tm
6 1 8
direct
0.041 0.721 0.613
0.279 0.387 0.959
0.387 0.959 0.279
0.613 0.041 0.721
0.721 0.613 0.041
0.959 0.279 0.387
0.500 0.500 0.500
0.076 0.076 0.076
0.221 0.242 0.610
0.242 0.610 0.221
0.390 0.779 0.758
0.610 0.221 0.242
0.758 0.390 0.779
0.779 0.758 0.390
0.924 0.924 0.924
```

# 5
Here is a geometry-optimized Dy3Ho4Tm5 structure from Alexandria. Energies are from PBE.

Calculated values
Energy above the most stable polymorph in this dataset ... 0.2296 eV/atom
Energy of formation ... 0.25 eV per atom
DOS(E_F) ... 19.17 states/eV per cell
Density ... 8.799 Mg/m³
Total magnetization ... 0.04 μB/atom
Symmetry ... C2/m (12)

Cell and atoms, written as POSCAR:
```
Dy3Ho4Tm5
1.0
7.897 -2.901 0.000
7.897 2.901 0.000
-4.086 0.000 8.205
Dy Ho Tm
3 4 5
direct
0.000 0.000 0.000
0.290 0.290 0.767
0.710 0.710 0.233
0.287 0.287 0.121
0.419 0.419 0.559
0.581 0.581 0.441
0.713 0.713 0.879
0.073 0.073 0.699
0.173 0.173 0.386
0.500 0.500 0.000
0.827 0.827 0.614
0.927 0.927 0.301
```

# 6
Here is a geometry-optimized Dy2HoTm9 structure from Alexandria. Energies are from PBE.

Calculated values
Energy above the most stable polymorph in this dataset ... 0.0000 eV/atom
Energy of formation ... 0.03 eV per atom
DOS(E_F) ... 17.22 states/eV per cell
Density ... 9.226 Mg/m³
Total magnetization ... 0.00 μB/atom
Symmetry ... P4/mmm (123)

Cell and atoms, written as POSCAR:
```
Dy2HoTm9
1.0
4.941 0.000 0.000
0.000 4.941 0.000
0.000 0.000 14.819
Dy Ho Tm
2 1 9
direct
0.000 0.000 0.167
0.000 0.000 0.833
0.000 0.000 0.500
0.000 0.500 0.000
0.000 0.500 0.334
0.000 0.500 0.666
0.500 0.000 0.000
0.500 0.000 0.334
0.500 0.000 0.666
0.500 0.500 0.167
0.500 0.500 0.500
0.500 0.500 0.833
```

# 7
Here is a geometry-optimized Dy7Ho5Tm structure from Alexandria. Energies are from PBE.

Calculated values
Energy of formation ... 0.26 eV per atom
DOS(E_F) ... 24.21 states/eV per cell
Density ... 8.438 Mg/m³
Total magnetization ... 0.00 μB/atom
Symmetry ... Imm2 (44)

Cell and atoms, written as POSCAR:
```
Dy7Ho5Tm
1.0
-3.312 5.533 5.721
3.312 -5.533 5.721
3.312 5.533 -5.721
Dy Ho Tm
7 5 1
direct
0.000 0.000 0.000
0.002 0.502 0.500
0.081 0.753 0.328
0.308 0.308 0.000
0.424 0.753 0.672
0.581 0.252 0.329
0.922 0.252 0.671
0.275 0.271 0.541
0.275 0.735 0.005
0.501 0.001 0.500
0.730 0.271 0.995
0.730 0.735 0.459
0.692 0.692 0.000
```

# 8
Here is a geometry-optimized DyHoTm structure from Alexandria. Energies are from PBE.

Calculated values
Energy above the most stable polymorph in this dataset ... 0.0000 eV/atom
Energy of formation ... 0.01 eV per atom
DOS(E_F) ... 17.69 states/eV per cell
Density ... 8.969 Mg/m³
Total magnetization ... 0.00 μB/atom
Symmetry ... Pnnm (58)

Cell and atoms, written as POSCAR:
```
DyHoTm
1.0
6.102 0.000 0.000
0.000 17.100 0.000
0.000 0.000 3.523
Dy Ho Tm
4 4 4
direct
0.167 0.085 0.000
0.333 0.585 0.500
0.667 0.415 0.500
0.833 0.915 0.000
0.167 0.415 0.000
0.333 0.915 0.500
0.667 0.085 0.500
0.833 0.585 0.000
0.001 0.750 0.500
0.499 0.250 0.000
0.501 0.750 0.000
0.999 0.250 0.500
```

# 9
Here is a geometry-optimized DyHo7Tm4 structure from Alexandria. Energies are from PBE.

Calculated values
Energy above the most stable polymorph in this dataset ... 0.0000 eV/atom
Energy of formation ... 0.02 eV per atom
DOS(E_F) ... 18.16 states/eV per cell
Density ... 9.063 Mg/m³
Total magnetization ... 0.00 μB/atom
Symmetry ... P-3m1 (164)

Cell and atoms, written as POSCAR:
```
DyHo7Tm4
1.0
3.507 0.000 0.000
-1.754 3.037 0.000
0.000 0.000 34.279
Dy Ho Tm
1 7 4
direct
0.000 0.000 0.000
0.000 0.000 0.250
0.000 0.000 0.500
0.000 0.000 0.750
0.333 0.667 0.666
0.333 0.667 0.916
0.667 0.333 0.084
0.667 0.333 0.334
0.333 0.667 0.167
0.333 0.667 0.417
0.667 0.333 0.583
0.667 0.333 0.833
```

# 10
Here is a geometry-optimized Dy4Ho4Tm3 structure from Alexandria. Energies are from PBE.

Calculated values
Energy above the most stable polymorph in this dataset ... 0.0000 eV/atom
Energy of formation ... 0.06 eV per atom
DOS(E_F) ... 20.43 states/eV per cell
Density ... 8.922 Mg/m³
Total magnetization ... 0.00 μB/atom
Symmetry ... P-1 (2)

Cell and atoms, written as POSCAR:
```
Dy4Ho4Tm3
1.0
3.486 0.000 0.000
0.000 5.526 0.000
1.739 2.753 17.547
Dy Ho Tm
4 4 3
direct
0.045 0.045 0.408
0.179 0.680 0.140
0.821 0.320 0.860
0.955 0.955 0.592
0.090 0.589 0.320
0.233 0.233 0.034
0.767 0.767 0.966
0.910 0.411 0.680
0.364 0.864 0.773
0.500 0.500 0.500
0.636 0.136 0.227
```

# 11
Here is a geometry-optimized Dy2HoTm2 structure from Alexandria. Energies are from PBE.

Calculated values
Energy above the most stable polymorph in this dataset ... 0.0000 eV/atom
Energy of formation ... 0.02 eV per atom
DOS(E_F) ... 13.97 states/eV per cell
Density ... 9.004 Mg/m³
Total magnetization ... 0.00 μB/atom
Symmetry ... P-1 (2)

Cell and atoms, written as POSCAR:
```
Dy2HoTm2
1.0
4.963 0.000 0.000
2.481 5.543 0.000
0.010 0.000 11.098
Dy Ho Tm
4 2 4
direct
0.050 0.400 0.350
0.150 0.201 0.050
0.850 0.799 0.950
0.950 0.600 0.650
0.250 0.000 0.749
0.750 0.000 0.251
0.350 0.800 0.450
0.450 0.601 0.150
0.550 0.399 0.850
0.650 0.200 0.550
```

# 12
Here is a geometry-optimized Dy3Ho2Tm3 structure from Alexandria. Energies are from PBE.

Calculated values
Energy above the most stable polymorph in this dataset ... 0.1280 eV/atom
Energy of formation ... 0.15 eV per atom
DOS(E_F) ... 12.72 states/eV per cell
Density ... 8.665 Mg/m³
Total magnetization ... 0.00 μB/atom
Symmetry ... R32 (155)

Cell and atoms, written as POSCAR:
```
Dy3Ho2Tm3
1.0
4.718 2.724 3.291
-4.718 2.724 3.291
0.000 -5.448 3.291
Dy Ho Tm
3 2 3
direct
0.000 0.689 0.311
0.311 0.000 0.689
0.689 0.311 0.000
0.198 0.198 0.198
0.802 0.802 0.802
0.212 0.500 0.788
0.500 0.788 0.212
0.788 0.212 0.500
```

# 13
Here is a geometry-optimized Dy7HoTm2 structure from Alexandria. Energies are from PBE.

Calculated values
Energy above the most stable polymorph in this dataset ... 0.0000 eV/atom
Energy of formation ... 0.02 eV per atom
DOS(E_F) ... 12.24 states/eV per cell
Density ... 8.838 Mg/m³
Total magnetization ... 0.00 μB/atom
Symmetry ... P-1 (2)

Cell and atoms, written as POSCAR:
```
Dy7HoTm2
1.0
6.089 0.000 0.000
2.025 6.747 0.000
2.030 1.232 7.501
Dy Ho Tm
7 1 2
direct
0.000 0.000 0.000
0.200 0.800 0.600
0.400 0.100 0.200
0.400 0.600 0.200
0.600 0.400 0.800
0.600 0.900 0.800
0.800 0.200 0.400
0.000 0.500 0.000
0.199 0.300 0.600
0.801 0.700 0.400
```

# 14
Here is a geometry-optimized Dy2Ho3Tm5 structure from Alexandria. Energies are from PBE.

Calculated values
Energy above the most stable polymorph in this dataset ... 0.0000 eV/atom
Energy of formation ... 0.20 eV per atom
DOS(E_F) ... 34.81 states/eV per cell
Density ... 8.766 Mg/m³
Total magnetization ... 0.00 μB/atom
Symmetry ... C2/c (15)

Cell and atoms, written as POSCAR:
```
Dy2Ho3Tm5
1.0
5.267 -7.735 0.000
5.267 7.735 0.000
-5.256 0.000 7.739
Dy Ho Tm
4 6 10
direct
0.022 0.269 0.048
0.269 0.022 0.548
0.731 0.978 0.452
0.978 0.731 0.952
0.225 0.469 0.451
0.271 0.729 0.250
0.469 0.225 0.951
0.531 0.775 0.049
0.729 0.271 0.750
0.775 0.531 0.549
0.024 0.976 0.750
0.140 0.377 0.765
0.230 0.770 0.750
0.377 0.140 0.265
0.473 0.527 0.250
0.527 0.473 0.750
0.623 0.860 0.735
0.770 0.230 0.250
0.860 0.623 0.235
0.976 0.024 0.250
```

# 15
Here is a geometry-optimized Dy7Ho2Tm4 structure from Alexandria. Energies are from PBE.

Calculated values
Energy of formation ... 0.08 eV per atom
DOS(E_F) ... 22.04 states/eV per cell
Density ... 8.821 Mg/m³
Total magnetization ... 0.00 μB/atom
Symmetry ... P-1 (2)

Cell and atoms, written as POSCAR:
```
Dy7Ho2Tm4
1.0
6.659 0.000 0.000
-2.063 8.274 0.000
-1.604 -4.473 7.323
Dy Ho Tm
7 2 4
direct
0.000 0.000 0.000
0.086 0.359 0.543
0.243 0.992 0.430
0.349 0.529 0.315
0.651 0.471 0.685
0.757 0.008 0.570
0.914 0.641 0.457
0.299 0.270 0.870
0.701 0.730 0.130
0.177 0.672 0.006
0.421 0.850 0.776
0.579 0.150 0.224
0.823 0.328 0.994
```

# 16
Here is a geometry-optimized Dy5Ho6Tm structure from Alexandria. Energies are from PBE.

Calculated values
Energy of formation ... 0.02 eV per atom
DOS(E_F) ... 16.30 states/eV per cell
Density ... 8.851 Mg/m³
Total magnetization ... 0.00 μB/atom
Symmetry ... Immm (71)

Cell and atoms, written as POSCAR:
```
Dy5Ho6Tm
1.0
-2.485 4.975 7.477
2.485 -4.975 7.477
2.485 4.975 -7.477
Dy Ho Tm
5 6 1
direct
0.000 0.000 0.000
0.167 0.667 0.500
0.334 0.334 0.000
0.666 0.666 0.000
0.833 0.333 0.500
0.084 0.833 0.250
0.251 0.500 0.751
0.417 0.167 0.250
0.583 0.833 0.750
0.749 0.500 0.249
0.916 0.167 0.750
0.500 0.000 0.500
```

# 17
Here is a geometry-optimized DyHoTm5 structure from Alexandria. Energies are from PBE.

Calculated values
Energy above the most stable polymorph in this dataset ... 0.0000 eV/atom
Energy of formation ... 0.20 eV per atom
DOS(E_F) ... 17.04 states/eV per cell
Density ... 9.018 Mg/m³
Total magnetization ... 0.00 μB/atom
Symmetry ... C2/c (15)

Cell and atoms, written as POSCAR:
```
DyHoTm5
1.0
5.741 -3.332 0.000
5.741 3.332 0.000
-4.089 0.000 11.283
Dy Ho Tm
2 2 10
direct
0.027 0.973 0.750
0.973 0.027 0.250
0.000 0.500 0.000
0.500 0.000 0.500
0.139 0.420 0.752
0.193 0.651 0.500
0.349 0.807 0.000
0.416 0.584 0.250
0.420 0.139 0.252
0.580 0.861 0.748
0.584 0.416 0.750
0.651 0.193 0.000
0.807 0.349 0.500
0.861 0.580 0.248
```

# 18
Here is a geometry-optimized Dy5Ho12Tm2 structure from Alexandria. Energies are from PBE.

Calculated values
Energy above the most stable polymorph in this dataset ... 0.0000 eV/atom
Energy of formation ... 0.09 eV per atom
DOS(E_F) ... 26.64 states/eV per cell
Density ... 8.770 Mg/m³
Total magnetization ... 0.00 μB/atom
Symmetry ... P-1 (2)

Cell and atoms, written as POSCAR:
```
Dy5Ho12Tm2
1.0
6.431 0.000 0.000
-1.224 8.705 0.000
-0.585 -3.912 10.585
Dy Ho Tm
5 12 2
direct
0.000 0.000 0.000
0.195 0.988 0.697
0.487 0.608 0.281
0.513 0.392 0.719
0.805 0.012 0.303
0.032 0.740 0.370
0.054 0.343 0.232
0.223 0.401 0.959
0.297 0.828 0.140
0.336 0.129 0.424
0.475 0.801 0.862
0.525 0.199 0.138
0.664 0.871 0.576
0.703 0.172 0.860
0.777 0.599 0.041
0.946 0.657 0.768
0.968 0.260 0.630
0.264 0.554 0.539
0.736 0.446 0.461
```

# 19
Here is a geometry-optimized Dy2Ho2Tm5 structure from Alexandria. Energies are from PBE.

Calculated values
Energy above the most stable polymorph in this dataset ... 0.0000 eV/atom
Energy of formation ... 0.00 eV per atom
DOS(E_F) ... 11.97 states/eV per cell
Density ... 9.097 Mg/m³
Total magnetization ... 0.00 μB/atom
Symmetry ... P-1 (2)

Cell and atoms, written as POSCAR:
```
Dy2Ho2Tm5
1.0
3.539 0.000 0.000
-0.014 8.684 0.000
-1.764 -2.155 8.907
Dy Ho Tm
2 2 5
direct
0.093 0.334 0.185
0.907 0.666 0.815
0.167 0.000 0.333
0.833 0.000 0.667
0.241 0.666 0.481
0.425 0.334 0.851
0.500 0.000 0.000
0.575 0.666 0.149
0.759 0.334 0.519
```